[1]
Crystalline ScCuSiPd at its relaxed geometry. Source: the Open Quantum Materials Database, functional PBE-GGA.

Values from the calculation:
As for the energy above the lowest structure with this stoichiometry: 0 meV/atom. The value obtained for the total energy is -5.74 eV/atom. The crystal system is cubic.

a b c (Å): 6.210 6.210 6.210
angles (deg): 90.00 90.00 90.00
Space group F-43m (No. 216)
One atom of each set of equivalent atoms:
Sc1 0.000 0.000 0.000
Cu1 0.250 0.250 0.250
Si1 0.000 0.000 0.500
Pd1 0.250 0.250 0.750



[2]
Crystalline ScCuSiPd at its relaxed geometry. Source: the Open Quantum Materials Database, functional PBE-GGA.

Values from the calculation:
As for the energy above the lowest structure with this stoichiometry: 48 meV/atom. The value obtained for the total energy is -5.69 eV/atom. The crystal system is cubic.

a b c (Å): 6.222 6.222 6.222
angles (deg): 90.00 90.00 90.00
Space group F-43m (No. 216)
One atom of each set of equivalent atoms:
Sc1 0.000 0.000 0.000
Cu1 0.250 0.250 0.250
Si1 0.250 0.250 0.750
Pd1 0.000 0.000 0.500



- Look up the energy above the lowest structure with this stoichiometry of the second one.
  48 meV/atom



- Among the records above, which one has the lowest energy above the lowest structure with this stoichiometry?
  number 1



- Among the records above, which one has the highest energy above the lowest structure with this stoichiometry?
  number 2



- Which value of energy above the lowest structure with this stoichiometry does entry 1 give?
  0 meV/atom